Sr3ZnRh | PBE | optimized geometry

- ΔE_f: -0.24 eV/atom
- Excess energy over the best structure of this formula in the dataset: 0.0000 eV/atom
- Mass density: 4.36 Mg/m³
- M_tot: 0.00 μB per formula unit
- Space-group type: P2_1/m, No. 11

abc: 4.487 7.099 10.321
angles: 89.95 90.00 90.00
Fractional coordinates of all 10 atoms:
Sr: 0.750 0.773 0.250
Zn: 0.250 0.428 0.250
Sr: 0.750 0.230 0.060
Rh: 0.750 0.925 0.750
Sr: 0.750 0.230 0.440
Rh: 0.250 0.075 0.250
Zn: 0.750 0.572 0.750
Sr: 0.250 0.770 0.560
Sr: 0.250 0.770 0.940
Sr: 0.250 0.227 0.750